VASP calculation (PBE) on a relaxed structure of CrH.

Cell lengths 5.0595, 5.0595, 3.9740 Å; angles 90.00, 90.00, 120.00 degrees
Space group P6_3/m (No. 176)
Inequivalent atoms, fractional coordinates:
Cr 0.0724 0.7279 0.2500 [6 per cell]
H 0.0743 0.6772 0.7500 [6 per cell]

Computed properties:
M_tot	0.00	Bohr magnetons per cell
final energy	-12.58	eV per formula unit

VASP calculation (PBE) on a relaxed structure of Zr4TcSn.

Cell lengths 7.548, 6.728, 5.931 Å; angles 90.00, 91.16, 90.00 degrees
Space group P2_1/c (No. 14)
Inequivalent atoms, fractional coordinates:
Zr 0.142 0.153 0.410 [4 per cell]
Zr 0.249 0.687 0.313 [4 per cell]
Tc 0.000 0.000 0.000 [2 per cell]
Sn 0.500 0.000 0.500 [2 per cell]

Computed properties:
M_tot	0.00	Bohr magnetons per cell
final energy	-48.45	eV per formula unit
DFT formation energy	0.019	eV/atom